one) Below is a relaxed structure of FeSnSb3, with properties calculated at the PBE level.

abc: 6.7737 6.7737 6.8553
angles: 101.16 101.16 122.77
Fractional positions:
Fe (0.1283, 0.8717, 0.5000)
Fe (0.8717, 0.1283, 0.0000)
Sn (0.5117, 0.9822, 0.4115)
Sn (0.9822, 0.5117, 0.9115)
Sb (0.3365, 0.3424, 0.6093)
Sb (0.3424, 0.3365, 0.1094)
Sb (0.4108, 0.9670, 0.8750)
Sb (0.8116, 0.8478, 0.6567)
Sb (0.8478, 0.8116, 0.1567)
Sb (0.9670, 0.4108, 0.3750)

Computed properties:
The total magnetization is 0.01 Bohr magnetons per cell. Its space group is Cc (9).

two) Below is a relaxed structure of FeSnSb3, with properties calculated at the PBE level.

abc: 4.9710 4.9710 4.9710
angles: 90.00 90.00 90.00
Fractional positions:
Fe (0.0000, 0.0000, 0.0000)
Sn (0.5000, 0.5000, 0.5000)
Sb (0.0000, 0.0000, 0.5000)
Sb (0.0000, 0.5000, 0.0000)
Sb (0.5000, 0.0000, 0.0000)

Computed properties:
The total magnetization is 0.00 Bohr magnetons per cell. Its space group is Pm-3m (221).

Which of them is the most stable, and which is the least stable? one) and two), in that order.

one) Below is a relaxed structure of Fe2SnSb, with properties calculated at the PBE level.

abc: 6.3373 6.3373 6.3373
angles: 90.00 90.00 90.00
Fractional positions:
Fe (0.2500, 0.2500, 0.2500)
Fe (0.2500, 0.2500, 0.7500)
Fe (0.2500, 0.7500, 0.2500)
Fe (0.2500, 0.7500, 0.7500)
Fe (0.7500, 0.2500, 0.2500)
Fe (0.7500, 0.2500, 0.7500)
Fe (0.7500, 0.7500, 0.2500)
Fe (0.7500, 0.7500, 0.7500)
Sn (0.0000, 0.0000, 0.0000)
Sn (0.0000, 0.5000, 0.5000)
Sn (0.5000, 0.0000, 0.5000)
Sn (0.5000, 0.5000, 0.0000)
Sb (0.0000, 0.0000, 0.5000)
Sb (0.0000, 0.5000, 0.0000)
Sb (0.5000, 0.0000, 0.0000)
Sb (0.5000, 0.5000, 0.5000)

Computed properties:
The total magnetization is 8.97 Bohr magnetons per cell. Its space group is Fm-3m (225).

two) Below is a relaxed structure of Fe2SnSb, with properties calculated at the PBE level.

abc: 7.1372 7.1372 6.1984
angles: 90.00 90.00 90.00
Fractional positions:
Fe (0.2432, 0.7500, 0.1250)
Fe (0.2500, 0.2432, 0.8750)
Fe (0.2500, 0.2568, 0.3750)
Fe (0.2568, 0.7500, 0.6250)
Fe (0.7432, 0.2500, 0.6250)
Fe (0.7500, 0.7432, 0.3750)
Fe (0.7500, 0.7568, 0.8750)
Fe (0.7568, 0.2500, 0.1250)
Sn (0.0000, 0.0000, 0.5000)
Sn (0.0000, 0.5000, 0.7500)
Sn (0.5000, 0.0000, 0.2500)
Sn (0.5000, 0.5000, 0.0000)
Sb (0.0000, 0.0000, 0.0000)
Sb (0.0000, 0.5000, 0.2500)
Sb (0.5000, 0.0000, 0.7500)
Sb (0.5000, 0.5000, 0.5000)

Computed properties:
The total magnetization is 21.94 Bohr magnetons per cell. Its space group is I-42d (122).

Which of them is the most stable, and which is the least stable? one) and two), in that order.

one) Below is a relaxed structure of Fe2SnSb2, with properties calculated at the PBE level.

abc: 6.1999 6.1999 6.6377
angles: 116.96 116.96 64.63
Fractional positions:
Fe (0.1570, 0.6598, 0.5123)
Fe (0.3402, 0.8430, 0.9877)
Fe (0.6598, 0.1570, 0.0123)
Fe (0.8430, 0.3402, 0.4877)
Sn (0.4029, 0.5971, 0.2500)
Sn (0.5971, 0.4029, 0.7500)
Sb (0.0917, 0.2427, 0.2235)
Sb (0.2427, 0.0917, 0.7235)
Sb (0.7573, 0.9083, 0.2765)
Sb (0.9083, 0.7573, 0.7765)

Computed properties:
The total magnetization is 0.96 Bohr magnetons per cell. Its space group is C2/c (15).

two) Below is a relaxed structure of Fe2SnSb2, with properties calculated at the PBE level.

abc: 4.3529 4.3529 10.7555
angles: 90.00 90.00 90.00
Fractional positions:
Fe (0.0000, 0.5000, 0.2500)
Fe (0.0000, 0.5000, 0.7500)
Fe (0.5000, 0.0000, 0.2500)
Fe (0.5000, 0.0000, 0.7500)
Sn (0.0000, 0.0000, 0.0000)
Sn (0.5000, 0.5000, 0.5000)
Sb (0.0000, 0.0000, 0.3630)
Sb (0.0000, 0.0000, 0.6370)
Sb (0.5000, 0.5000, 0.1370)
Sb (0.5000, 0.5000, 0.8630)

Computed properties:
The total magnetization is 0.00 Bohr magnetons per cell. Its space group is I4/mmm (139).

Which of them is the most stable, and which is the least stable? one) and two), in that order.

one) Below is a relaxed structure of FeSnSb2Te, with properties calculated at the PBE level.

abc: 5.3891 5.3891 5.4198
angles: 90.00 90.00 90.00
Fractional positions:
Fe (0.0000, 0.0000, 0.0000)
Sn (0.5000, 0.5000, 0.5000)
Sb (0.0000, 0.5000, 0.5000)
Sb (0.5000, 0.0000, 0.5000)
Te (0.5000, 0.5000, 0.0000)

Computed properties:
The total magnetization is 0.16 Bohr magnetons per cell. Its space group is P4/mmm (123).

two) Below is a relaxed structure of FeSnSb2Te, with properties calculated at the PBE level.

abc: 4.8008 4.8008 5.7698
angles: 90.00 90.00 90.00
Fractional positions:
Fe (0.0000, 0.0000, 0.0000)
Sn (0.5000, 0.5000, 0.5000)
Sb (0.0000, 0.5000, 0.0000)
Sb (0.5000, 0.0000, 0.0000)
Te (0.0000, 0.0000, 0.5000)

Computed properties:
The total magnetization is 0.18 Bohr magnetons per cell. Its space group is P4/mmm (123).

Which of them is the most stable, and which is the least stable? two) and one), in that order.

one) Below is a relaxed structure of TaFeSb3, with properties calculated at the PBE level.

abc: 4.8665 4.8665 4.8665
angles: 90.00 90.00 90.00
Fractional positions:
Ta (0.0000, 0.0000, 0.0000)
Fe (0.5000, 0.5000, 0.5000)
Sb (0.0000, 0.5000, 0.5000)
Sb (0.5000, 0.0000, 0.5000)
Sb (0.5000, 0.5000, 0.0000)

Computed properties:
The total magnetization is 0.01 Bohr magnetons per cell. Its space group is Pm-3m (221).

two) Below is a relaxed structure of TaFeSb3, with properties calculated at the PBE level.

abc: 5.3318 5.3318 5.3318
angles: 90.00 90.00 90.00
Fractional positions:
Ta (0.0000, 0.0000, 0.0000)
Fe (0.5000, 0.5000, 0.5000)
Sb (0.0000, 0.0000, 0.5000)
Sb (0.0000, 0.5000, 0.0000)
Sb (0.5000, 0.0000, 0.0000)

Computed properties:
The total magnetization is 3.34 Bohr magnetons per cell. Its space group is Pm-3m (221).

Which of them is the most stable, and which is the least stable? two) and one), in that order.

one) Below is a relaxed structure of TaFe3Sb, with properties calculated at the PBE level.

abc: 4.5665 4.5665 4.5665
angles: 90.00 90.00 90.00
Fractional positions:
Ta (0.0000, 0.0000, 0.0000)
Fe (0.0000, 0.5000, 0.5000)
Fe (0.5000, 0.0000, 0.5000)
Fe (0.5000, 0.5000, 0.0000)
Sb (0.5000, 0.5000, 0.5000)

Computed properties:
The total magnetization is 4.84 Bohr magnetons per cell. Its space group is Pm-3m (221).

two) Below is a relaxed structure of TaFe3Sb, with properties calculated at the PBE level.

abc: 4.5870 4.5870 4.5870
angles: 90.00 90.00 90.00
Fractional positions:
Ta (0.0000, 0.0000, 0.0000)
Fe (0.0000, 0.0000, 0.5000)
Fe (0.0000, 0.5000, 0.0000)
Fe (0.5000, 0.0000, 0.0000)
Sb (0.5000, 0.5000, 0.5000)

Computed properties:
The total magnetization is 5.06 Bohr magnetons per cell. Its space group is Pm-3m (221).

Which of them is the most stable, and which is the least stable? two) and one), in that order.

one) Below is a relaxed structure of TaFeSbTe2, with properties calculated at the PBE level.

abc: 5.3633 5.3633 5.4397
angles: 90.00 90.00 90.00
Fractional positions:
Ta (0.0000, 0.0000, 0.0000)
Fe (0.5000, 0.5000, 0.5000)
Sb (0.0000, 0.0000, 0.5000)
Te (0.0000, 0.5000, 0.0000)
Te (0.5000, 0.0000, 0.0000)

Computed properties:
The total magnetization is 3.98 Bohr magnetons per cell. Its space group is P4/mmm (123).

two) Below is a relaxed structure of TaFeSbTe2, with properties calculated at the PBE level.

abc: 5.0601 5.0601 4.7152
angles: 90.00 90.00 90.00
Fractional positions:
Ta (0.0000, 0.0000, 0.0000)
Fe (0.5000, 0.5000, 0.5000)
Sb (0.5000, 0.5000, 0.0000)
Te (0.0000, 0.5000, 0.5000)
Te (0.5000, 0.0000, 0.5000)

Computed properties:
The total magnetization is 1.33 Bohr magnetons per cell. Its space group is P4/mmm (123).

Which of them is the most stable, and which is the least stable? one) and two), in that order.

one) Below is a relaxed structure of FeTcSb3, with properties calculated at the PBE level.

abc: 4.9114 4.9114 4.9114
angles: 90.00 90.00 90.00
Fractional positions:
Fe (0.0000, 0.0000, 0.0000)
Tc (0.5000, 0.5000, 0.5000)
Sb (0.0000, 0.0000, 0.5000)
Sb (0.0000, 0.5000, 0.0000)
Sb (0.5000, 0.0000, 0.0000)

Computed properties:
The total magnetization is 0.93 Bohr magnetons per cell. Its space group is Pm-3m (221).

two) Below is a relaxed structure of FeTcSb3, with properties calculated at the PBE level.

abc: 5.1061 5.1061 5.1061
angles: 90.00 90.00 90.00
Fractional positions:
Fe (0.0000, 0.0000, 0.0000)
Tc (0.5000, 0.5000, 0.5000)
Sb (0.0000, 0.5000, 0.5000)
Sb (0.5000, 0.0000, 0.5000)
Sb (0.5000, 0.5000, 0.0000)

Computed properties:
The total magnetization is 0.04 Bohr magnetons per cell. Its space group is Pm-3m (221).

Which of them is the most stable, and which is the least stable? one) and two), in that order.

one) Below is a relaxed structure of FeTcSb2Te, with properties calculated at the PBE level.

abc: 4.8838 4.8838 5.0414
angles: 90.00 90.00 90.00
Fractional positions:
Fe (0.0000, 0.0000, 0.0000)
Tc (0.5000, 0.5000, 0.5000)
Sb (0.0000, 0.5000, 0.0000)
Sb (0.5000, 0.0000, 0.0000)
Te (0.0000, 0.0000, 0.5000)

Computed properties:
The total magnetization is 1.19 Bohr magnetons per cell. Its space group is P4/mmm (123).

two) Below is a relaxed structure of FeTcSb2Te, with properties calculated at the PBE level.

abc: 5.0943 5.0943 5.3609
angles: 90.00 90.00 90.00
Fractional positions:
Fe (0.0000, 0.0000, 0.0000)
Tc (0.5000, 0.5000, 0.5000)
Sb (0.0000, 0.5000, 0.5000)
Sb (0.5000, 0.0000, 0.5000)
Te (0.5000, 0.5000, 0.0000)

Computed properties:
The total magnetization is 2.67 Bohr magnetons per cell. Its space group is P4/mmm (123).

Which of them is the most stable, and which is the least stable? one) and two), in that order.

one) Below is a relaxed structure of FeTcSbTe2, with properties calculated at the PBE level.

abc: 5.0495 5.0495 4.8734
angles: 90.00 90.00 90.00
Fractional positions:
Fe (0.0000, 0.0000, 0.0000)
Tc (0.5000, 0.5000, 0.5000)
Sb (0.0000, 0.0000, 0.5000)
Te (0.0000, 0.5000, 0.0000)
Te (0.5000, 0.0000, 0.0000)

Computed properties:
The total magnetization is 1.34 Bohr magnetons per cell. Its space group is P4/mmm (123).

two) Below is a relaxed structure of FeTcSbTe2, with properties calculated at the PBE level.

abc: 5.2504 5.2504 5.1236
angles: 90.00 90.00 90.00
Fractional positions:
Fe (0.0000, 0.0000, 0.0000)
Tc (0.5000, 0.5000, 0.5000)
Sb (0.5000, 0.5000, 0.0000)
Te (0.0000, 0.5000, 0.5000)
Te (0.5000, 0.0000, 0.5000)

Computed properties:
The total magnetization is 2.37 Bohr magnetons per cell. Its space group is P4/mmm (123).

Which of them is the most stable, and which is the least stable? two) and one), in that order.

one) Below is a relaxed structure of FeSb3Te, with properties calculated at the PBE level.

abc: 5.0244 5.0244 5.0244
angles: 90.00 90.00 90.00
Fractional positions:
Fe (0.0000, 0.0000, 0.0000)
Sb (0.0000, 0.0000, 0.5000)
Sb (0.0000, 0.5000, 0.0000)
Sb (0.5000, 0.0000, 0.0000)
Te (0.5000, 0.5000, 0.5000)

Computed properties:
The total magnetization is 1.97 Bohr magnetons per cell. Its space group is Pm-3m (221).

two) Below is a relaxed structure of FeSb3Te, with properties calculated at the PBE level.

abc: 5.0094 11.0001 5.1958
angles: 90.00 102.41 90.00
Fractional positions:
Fe (0.1723, 0.2500, 0.1851)
Fe (0.8277, 0.7500, 0.8149)
Sb (0.1310, 0.2500, 0.6637)
Sb (0.2198, 0.0203, 0.3340)
Sb (0.2198, 0.4797, 0.3340)
Sb (0.7802, 0.5203, 0.6660)
Sb (0.7802, 0.9797, 0.6660)
Sb (0.8690, 0.7500, 0.3363)
Te (0.3546, 0.7500, 0.9047)
Te (0.6454, 0.2500, 0.0953)

Computed properties:
The total magnetization is 4.40 Bohr magnetons per cell. Its space group is P2_1/m (11).

Which of them is the most stable, and which is the least stable? two) and one), in that order.

one) Below is a relaxed structure of TiFeSb2Te, with properties calculated at the PBE level.

abc: 5.2545 5.2545 5.2370
angles: 90.00 90.00 90.00
Fractional positions:
Ti (0.0000, 0.0000, 0.0000)
Fe (0.5000, 0.5000, 0.5000)
Sb (0.0000, 0.5000, 0.0000)
Sb (0.5000, 0.0000, 0.0000)
Te (0.0000, 0.0000, 0.5000)

Computed properties:
The total magnetization is 3.44 Bohr magnetons per cell. Its space group is P4/mmm (123).

two) Below is a relaxed structure of TiFeSb2Te, with properties calculated at the PBE level.

abc: 4.7583 4.7583 5.4091
angles: 90.00 90.00 90.00
Fractional positions:
Ti (0.0000, 0.0000, 0.0000)
Fe (0.5000, 0.5000, 0.5000)
Sb (0.0000, 0.5000, 0.5000)
Sb (0.5000, 0.0000, 0.5000)
Te (0.5000, 0.5000, 0.0000)

Computed properties:
The total magnetization is 0.00 Bohr magnetons per cell. Its space group is P4/mmm (123).

Which of them is the most stable, and which is the least stable? two) and one), in that order.